NaCaHg14, relaxed, DFT GGA-PBE; SG = No. 123; total magnetization = 0.0 μB/cell; ΔE_f = -0.143 eV per atom
1.0
6.919 0.000 0.000
0.000 6.919 0.000
0.000 0.000 8.777
Na Ca Hg
1 1 14
Direct
0.000 0.000 0.000
0.500 0.500 0.000
0.000 0.000 0.500
0.000 0.500 0.000
0.000 0.500 0.500
0.248 0.248 0.252
0.248 0.248 0.748
0.248 0.752 0.252
0.248 0.752 0.748
0.500 0.000 0.000
0.500 0.000 0.500
0.500 0.500 0.500
0.752 0.248 0.252
0.752 0.248 0.748
0.752 0.752 0.252
0.752 0.752 0.748

---

Na2CaHg6, relaxed, DFT GGA-PBE; SG = No. 71; total magnetization = 0.0 μB/cell; ΔE_f = -0.279 eV per atom
1.0
-1.774 4.319 7.651
1.774 -4.319 7.651
1.774 4.319 -7.651
Na Ca Hg
2 1 6
Direct
0.145 0.145 0.000
0.855 0.855 0.000
0.500 0.000 0.500
0.151 0.325 0.826
0.173 0.500 0.673
0.499 0.325 0.174
0.501 0.675 0.826
0.827 0.500 0.327
0.849 0.675 0.174

---

Na2CaHg8, relaxed, DFT GGA-PBE; SG = No. 12; total magnetization = 0.0 μB/cell; ΔE_f = -0.217 eV per atom
1.0
4.201 -8.068 0.000
4.201 8.068 0.000
-3.420 0.000 4.322
Na Ca Hg
2 1 8
Direct
0.181 0.819 0.000
0.819 0.181 0.000
0.500 0.500 0.500
0.076 0.076 0.828
0.130 0.408 0.742
0.299 0.701 0.500
0.408 0.130 0.742
0.592 0.870 0.258
0.701 0.299 0.500
0.870 0.592 0.258
0.924 0.924 0.172

---

Na12CaHg7, relaxed, DFT GGA-PBE; SG = No. 148; total magnetization = 0.0 μB/cell; ΔE_f = -0.185 eV per atom
1.0
5.914 3.414 4.842
-5.914 3.414 4.842
0.000 -6.829 4.842
Na Ca Hg
12 1 7
Direct
0.123 0.457 0.332
0.226 0.767 0.644
0.233 0.356 0.774
0.332 0.123 0.457
0.356 0.774 0.233
0.457 0.332 0.123
0.543 0.668 0.877
0.644 0.226 0.767
0.668 0.877 0.543
0.767 0.644 0.226
0.774 0.233 0.356
0.877 0.543 0.668
0.000 0.000 0.000
0.017 0.884 0.363
0.116 0.637 0.983
0.363 0.017 0.884
0.500 0.500 0.500
0.637 0.983 0.116
0.884 0.363 0.017
0.983 0.116 0.637

---

NaCaHg5, relaxed, DFT GGA-PBE; SG = No. 65; total magnetization = 0.0 μB/cell; ΔE_f = -0.256 eV per atom
1.0
6.601 0.000 0.000
0.000 9.058 0.000
0.000 0.000 6.494
Na Ca Hg
2 2 10
Direct
0.000 0.000 0.000
0.500 0.500 0.000
0.000 0.500 0.500
0.500 0.000 0.500
0.000 0.500 0.000
0.250 0.250 0.254
0.250 0.250 0.746
0.250 0.750 0.254
0.250 0.750 0.746
0.500 0.000 0.000
0.750 0.250 0.254
0.750 0.250 0.746
0.750 0.750 0.254
0.750 0.750 0.746

---

NaCa2Hg4, relaxed, DFT GGA-PBE; SG = No. 166; total magnetization = 0.0 μB/cell; ΔE_f = -0.296 eV per atom
1.0
2.537 1.465 9.091
-2.537 1.465 9.091
0.000 -2.929 9.091
Na Ca Hg
1 2 4
Direct
0.000 0.000 0.000
0.247 0.247 0.247
0.753 0.753 0.753
0.131 0.131 0.131
0.372 0.372 0.372
0.628 0.628 0.628
0.869 0.869 0.869

---

NaCaNdHg, relaxed, DFT GGA-PBE; SG = No. 216; total magnetization = 0.0 μB/cell; ΔE_f = -0.163 eV per atom
1.0
7.777 0.000 0.000
0.000 7.777 0.000
0.000 0.000 7.777
Na Ca Nd Hg
4 4 4 4
Direct
0.000 0.000 0.000
0.000 0.500 0.500
0.500 0.000 0.500
0.500 0.500 0.000
0.250 0.250 0.250
0.250 0.750 0.750
0.750 0.250 0.750
0.750 0.750 0.250
0.250 0.250 0.750
0.250 0.750 0.250
0.750 0.250 0.250
0.750 0.750 0.750
0.000 0.000 0.500
0.000 0.500 0.000
0.500 0.000 0.000
0.500 0.500 0.500

---

NaCaNiHg2, relaxed, DFT GGA-PBE; SG = No. 123; total magnetization = 0.0 μB/cell; ΔE_f = -0.119 eV per atom
1.0
5.144 0.000 0.000
0.000 5.144 0.000
0.000 0.000 5.013
Na Ca Ni Hg
1 1 1 2
Direct
0.000 0.000 0.000
0.500 0.500 0.000
0.500 0.500 0.500
0.000 0.500 0.500
0.500 0.000 0.500

---

NaCaHgO2, relaxed, DFT GGA-PBE; energy relative to the elements, uncorrected = -1.37 eV/atom; SG = No. 13; total magnetization = 0.0 μB/cell
1.0
6.822 0.000 0.000
0.000 6.540 0.000
-2.589 0.000 6.026
Na Ca Hg O
2 2 2 4
Direct
0.000 0.247 0.250
0.000 0.753 0.750
0.500 0.496 0.750
0.500 0.504 0.250
0.500 0.000 0.000
0.500 0.000 0.500
0.338 0.317 0.431
0.338 0.683 0.931
0.662 0.317 0.069
0.662 0.683 0.569

---

NaCa2HgO4, relaxed, DFT GGA-PBE; energy relative to the elements, uncorrected = -1.77 eV/atom; SG = No. 10; total magnetization = 0.9 μB/cell
1.0
5.682 0.000 0.000
0.000 3.547 0.000
-1.575 0.000 5.653
Na Ca Hg O
1 2 1 4
Direct
0.000 0.000 0.000
0.500 0.000 0.500
0.500 0.500 0.000
0.000 0.500 0.500
0.250 0.500 0.284
0.281 0.000 0.778
0.719 0.000 0.222
0.750 0.500 0.716

---

NaCa2Hg2Pb2, relaxed, DFT GGA-PBE; SG = No. 166; total magnetization = 0.0 μB/cell; ΔE_f = -0.292 eV per atom
1.0
2.595 1.498 9.164
-2.595 1.498 9.164
0.000 -2.996 9.164
Na Ca Hg Pb
1 2 2 2
Direct
0.000 0.000 0.000
0.133 0.133 0.133
0.867 0.867 0.867
0.439 0.439 0.439
0.561 0.561 0.561
0.264 0.264 0.264
0.736 0.736 0.736

---

NaCa2Hg4Pb, relaxed, DFT GGA-PBE; SG = No. 166; total magnetization = 0.0 μB/cell; ΔE_f = -0.383 eV per atom
1.0
2.642 1.525 8.815
-2.642 1.525 8.815
0.000 -3.050 8.815
Na Ca Hg Pb
1 2 4 1
Direct
0.000 0.000 0.000
0.245 0.245 0.245
0.755 0.755 0.755
0.117 0.117 0.117
0.369 0.369 0.369
0.631 0.631 0.631
0.883 0.883 0.883
0.500 0.500 0.500